TlPW2: relaxed, GGA-PBE.

Calculated values
Magnetization: 0.00 μB per formula unit
ΔE_f: 0.276 eV per atom
Offset from the most stable computed form: 0.0 meV per atom
Space group: P4mm

a b c (Å): 3.227 3.227 6.787
angles (deg): 90.00 90.00 90.00
Fractional coordinates of all 4 atoms:
1 W 0.500 0.500 0.280
2 W 0.000 0.000 0.043
3 Tl 0.500 0.500 0.749
4 P 0.000 0.000 0.428